Below is a relaxed structure of MgSi2Sn2, with properties calculated at the GGA-PBE level.

Summary:
The value obtained for the distance to the lowest polymorph of the same formula is 20 meV per atom. The calculation puts the final energy at -19.70 eV/cell. Its space-group type is No. 1. For the uncorrected formation energy, the calculation gives 150 meV/atom.

Geometry as POSCAR:
```
MgSi2Sn2
1.0
3.9856 -0.0168 0.0102
0.5947 5.5379 0.0515
1.1236 1.4612 5.3370
Si Sn Mg
2 2 1
direct
0.8088 0.5631 0.3153
0.2318 0.6362 0.5341
0.8324 0.9152 0.8767
0.2123 0.2856 0.9731
0.5251 0.0978 0.4239
```